Pm5Dy3Au12 | GGA-PBE | relaxed

a b c (Å): 16.9093 16.9093 16.9093
angles (deg): 90.00 90.00 90.00
Space group Ia-3d (No. 230)
Unique sites:
Pm 0.0000 0.0000 0.0000 (multiplicity 16)
Pm 0.0000 0.2500 0.3750 (multiplicity 24)
Dy 0.0000 0.2500 0.1250 (multiplicity 24)
Au 0.0033 0.0776 0.6556 (multiplicity 96)

The density of states at the Fermi level comes out at 19.11 states/eV/f.u. The calculation puts the energy of formation at -0.45 eV per atom. As for the magnetization: 0.000 μB/atom. The value obtained for the total energy is -4.296 eV/atom.